No. 1
# CaY3Ru

CaY3Ru after structural relaxation (PBE-GGA, Alexandria).

Values from the calculation:
Mass density, g/cm3: 2.8
E_form, eV per atom: 0.57
Relative energy among the computed polymorphs, meV per atom: 760

a = 3.7153 Å, b = 7.3516 Å, c = 17.8247 Å
α = 90.00°, β = 90.00°, γ = 90.00°
Closest atoms and distances in Å follow each position.
Space group Amm2 (No. 38)
Inequivalent atoms, fractional coordinates:
1 Ca 0.0000 0.0000 0.0000  4 Y 3.71-3.80, 2 Ca 3.72
2 Y 0.0000 0.2398 0.1831  2 Ru 2.69
3 Y 0.5000 0.0000 0.8138  1 Ru 2.66
4 Ru 0.5000 0.0000 0.6643  5 Y 2.66-2.69

---

No. 2
# CaY3Ru

CaY3Ru after structural relaxation (PBE-GGA, Alexandria).

Values from the calculation:
Mass density, g/cm3: 4.0
E_form, eV per atom: 0.62
Relative energy among the computed polymorphs, meV per atom: 809

a = 6.3818 Å, b = 19.1763 Å, c = 5.5589 Å
α = 90.00°, β = 90.00°, γ = 90.00°
Closest atoms and distances in Å follow each position.
Space group Cmcm (No. 63)
Inequivalent atoms, fractional coordinates:
1 Ca 0.0000 0.2022 0.2500  6 Y 3.64-3.72
2 Y 0.0000 0.0000 0.0000  2 Y 2.78
3 Y 0.2294 0.3808 0.2500  1 Ru 2.76, 1 Y 2.93
4 Ru 0.0000 0.4972 0.7500  2 Y 2.76, 2 Ru 2.78

---

No. 3
# CaY3Ru

CaY3Ru after structural relaxation (PBE-GGA, Alexandria).

Values from the calculation:
Mass density, g/cm3: 4.5
E_form, eV per atom: 0.18
Relative energy among the computed polymorphs, meV per atom: 367

a = 7.0225 Å, b = 7.0225 Å, c = 10.4950 Å
α = 90.00°, β = 90.00°, γ = 120.00°
Closest atoms and distances in Å follow each position.
Space group R3m (No. 160, hexagonal axes)
Inequivalent atoms, fractional coordinates:
1 Ca 0.0000 0.0000 0.0000  1 Ru 2.63
2 Y 0.0084 0.5042 0.0850  1 Ru 2.65
3 Ru 0.0000 0.0000 0.2506  1 Ca 2.63, 3 Y 2.65

---

No. 4
# Ca2YRu

Ca2YRu after structural relaxation (PBE-GGA, Alexandria).

Values from the calculation:
Mass density, g/cm3: 4.4
E_form, eV per atom: 0.24
Relative energy among the computed polymorphs, meV per atom: 207

a = 4.3869 Å, b = 4.3869 Å, c = 5.2915 Å
α = 90.00°, β = 90.00°, γ = 90.00°
Closest atoms and distances in Å follow each position.
Space group P4/mmm (No. 123)
Inequivalent atoms, fractional coordinates:
1 Ca 0.0000 0.5000 0.0000  4 Ca 3.10, 4 Ru 3.44, 4 Y 3.44
2 Y 0.0000 0.0000 0.5000  4 Ru 3.10, 8 Ca 3.44
3 Ru 0.5000 0.5000 0.5000  4 Y 3.10, 8 Ca 3.44

---

No. 5
# CaY2Ru

CaY2Ru after structural relaxation (PBE-GGA, Alexandria).

Values from the calculation:
Mass density, g/cm3: 5.3
E_form, eV per atom: 0.22
Relative energy among the computed polymorphs, meV per atom: 424

a = 4.4054 Å, b = 4.4054 Å, c = 10.3012 Å
α = 90.00°, β = 90.00°, γ = 90.00°
Closest atoms and distances in Å follow each position.
Space group I-4m2 (No. 119)
Inequivalent atoms, fractional coordinates:
1 Ca 0.0000 0.0000 0.0000  8 Y 3.12-3.39, 4 Ru 3.39
2 Y 0.0000 0.0000 0.5000  4 Ca 3.12, 4 Ru 3.39, 4 Y 3.39
3 Y 0.0000 0.5000 0.2500  4 Ru 3.12, 4 Ca 3.39, 4 Y 3.39
4 Ru 0.0000 0.5000 0.7500  8 Y 3.12-3.39, 4 Ca 3.39

---

No. 6
# CaYRu2

CaYRu2 after structural relaxation (PBE-GGA, Alexandria).

Values from the calculation:
Mass density, g/cm3: 5.9
E_form, eV per atom: 0.17

a = 4.4243 Å, b = 4.9539 Å, c = 8.4772 Å
α = 90.00°, β = 90.00°, γ = 90.00°
Closest atoms and distances in Å follow each position.
Space group Cmm2 (No. 35)
Inequivalent atoms, fractional coordinates:
1 Ca 0.0000 0.0000 0.0000  5 Ru 3.08-3.27, 4 Ca 3.32
2 Y 0.0000 0.5000 0.3901  5 Ru 2.95-3.15
3 Ru 0.0000 0.0000 0.6205  4 Ru 2.46-2.70
4 Ru 0.0000 0.5000 0.7478  4 Ru 2.46-2.70

---

No. 7
# CaY3Ru

CaY3Ru after structural relaxation (PBE-GGA, Alexandria).

Values from the calculation:
Mass density, g/cm3: 4.1
E_form, eV per atom: -0.04
Relative energy among the computed polymorphs, meV per atom: 143

a = 6.7776 Å, b = 6.7776 Å, c = 24.8746 Å
α = 90.00°, β = 90.00°, γ = 120.00°
Closest atoms and distances in Å follow each position.
Space group R-3 (No. 148, hexagonal axes)
Inequivalent atoms, fractional coordinates:
1 Ca 0.0000 0.0000 0.1851  1 Ru 3.15
2 Y 0.0077 0.4035 0.2782  2 Ru 2.79-2.83
3 Ru 0.0000 0.0000 0.3116  6 Y 2.79-2.83

---

No. 8
# CaYRu2

CaYRu2 after structural relaxation (PBE-GGA, Alexandria).

Values from the calculation:
Mass density, g/cm3: 7.0
E_form, eV per atom: 0.31

a = 3.6248 Å, b = 4.3057 Å, c = 5.0621 Å
α = 90.00°, β = 90.00°, γ = 90.00°
Closest atoms and distances in Å follow each position.
Space group Pmmm (No. 47)
Inequivalent atoms, fractional coordinates:
1 Ca 0.0000 0.0000 0.0000  4 Ru 2.81, 4 Y 3.11
2 Y 0.5000 0.0000 0.5000  4 Ru 2.81, 4 Ca 3.11
3 Ru 0.0000 0.5000 0.5000  4 Y 2.81, 4 Ru 3.11
4 Ru 0.5000 0.5000 0.0000  4 Ca 2.81, 4 Ru 3.11